LaCrTc2 | PBE | optimized geometry

Summary:
The value obtained for the total energy is -8.4014 eV per atom. As for the formation enthalpy at 0 K: 40.5 kJ per mole of atoms. Its relative energy among the computed polymorphs is 0.121 eV per atom.

Cell: 4.9702 4.9702 5.5577 Å, 74.58 74.58 36.76°
Fractional positions:
Cr 0.4639 0.4639 0.6242
La 0.2481 0.2481 0.2473
Tc 0.0298 0.0298 0.8901
Tc 0.7582 0.7582 0.7384


NaLaDy4S8 | PBE | optimized geometry

Summary:
The value obtained for the total energy is -6.0820 eV per atom. The uncorrected formation energy comes out at -1.96 eV per atom.

Cell: 8.1070 8.1070 8.2609 Å, 60.61 60.61 60.00°
Fractional positions:
S 0.2455 0.7827 0.7262
S 0.7507 0.2304 0.2683
S 0.2381 0.2381 0.2857
S 0.2304 0.7507 0.2683
S 0.7827 0.2455 0.7262
S 0.7578 0.7578 0.7265
S 0.2455 0.2455 0.7262
S 0.7507 0.7507 0.2683
La 0.0034 0.0034 0.9899
Na 0.3731 0.3731 0.8806
Dy 0.0046 0.0046 0.5040
Dy 0.4868 0.0046 0.5040
Dy 0.6261 0.6261 0.1217
Dy 0.0046 0.4868 0.5040


MnMoW | PBE | optimized geometry

Summary:
The value obtained for the total energy is -10.8952 eV per atom. As for the formation enthalpy at 0 K: 8.6 kJ per mole of atoms. Its relative energy among the computed polymorphs is 0.000 eV per atom.

Cell: 6.7679 6.6004 2.6889 Å, 81.92 74.92 23.16°
Fractional positions:
W 0.3392 0.3392 0.6608
Mo 0.6607 0.6607 0.3393
Mn 0.0001 0.0001 0.9999


Pm5Dy4Hg4 | PBE | optimized geometry

Summary:
The value obtained for the total energy is -3.6526 eV per atom. As for the formation enthalpy at 0 K: -30.5 kJ per mole of atoms.

Cell: 5.1850 9.0123 9.0123 Å, 85.25 73.28 73.28°
Fractional positions:
Dy 0.3955 0.7018 0.5072
Dy 0.0973 0.5072 0.2982
Dy 0.6045 0.2982 0.4928
Dy 0.9027 0.4928 0.7018
Pm 0.3812 0.3041 0.9336
Pm 0.3147 0.0664 0.3041
Pm 0.6188 0.6959 0.0664
Pm 0.6853 0.9336 0.6959
Pm 0.0000 0.0000 0.0000
Hg 0.7588 0.3351 0.1473
Hg 0.2412 0.6649 0.8527
Hg 0.0939 0.1473 0.6649
Hg 0.9061 0.8527 0.3351


Nd6Sm2Er3Mg | PBE | optimized geometry

Summary:
The value obtained for the total energy is -4.4300 eV per atom. As for the formation enthalpy at 0 K: 1.4 kJ per mole of atoms.

Cell: 6.2397 6.2397 11.8399 Å, 95.05 95.05 120.04°
Fractional positions:
Nd 0.5853 0.9166 0.7481
Nd 0.4147 0.0834 0.2519
Nd 0.7519 0.7519 0.2528
Nd 0.0834 0.4147 0.2519
Nd 0.2481 0.2481 0.7472
Nd 0.9166 0.5853 0.7481
Er 0.5000 0.5000 0.5000
Er 0.8339 0.1661 0.5000
Er 0.1661 0.8339 0.5000
Sm 0.6669 0.3331 0.0000
Sm 0.3331 0.6669 0.0000
Mg 0.0000 0.0000 0.0000


Pr4GaIr3 | PBE | optimized geometry

Summary:
The value obtained for the total energy is -6.7013 eV per atom. As for the formation enthalpy at 0 K: -58.9 kJ per mole of atoms.

Cell: 4.0841 4.3919 10.9977 Å, 90.00 90.00 90.00°
Fractional positions:
Pr 0.0000 0.5000 0.8483
Pr 0.5000 0.0000 0.6413
Pr 0.0000 0.0000 0.1449
Pr 0.5000 0.5000 0.3673
Ir 0.0000 0.0000 0.4190
Ir 0.5000 0.0000 0.9355
Ir 0.0000 0.5000 0.5803
Ga 0.5000 0.5000 0.0635


ZrCrTcTe2 | PBE | optimized geometry

Summary:
The value obtained for the total energy is -5.3913 eV per atom. The uncorrected formation energy comes out at 1.57 eV per atom.

Cell: 5.5156 4.7152 5.5156 Å, 90.00 90.00 90.00°
Fractional positions:
Zr 0.0000 0.0000 0.0000
Te 0.0000 0.0000 0.5000
Te 0.5000 0.0000 0.0000
Cr 0.5000 0.5000 0.5000
Tc 0.0000 0.5000 0.0000


Cs2SrTiI6 | PBE | optimized geometry

Summary:
The value obtained for the total energy is -3.3389 eV per atom. The uncorrected formation energy comes out at -1.28 eV per atom.

Cell: 8.6732 8.6732 8.6732 Å, 60.00 60.00 90.00°
Fractional positions:
Sr 0.0000 0.0000 0.0000
I 0.7365 0.2635 0.0000
I 0.7365 0.7365 0.5271
I 0.2635 0.2635 0.0000
I 0.2635 0.7365 0.0000
I 0.7365 0.7365 0.0000
I 0.2635 0.2635 0.4729
Cs 0.7500 0.2500 0.5000
Cs 0.2500 0.7500 0.5000
Ti 0.5000 0.5000 0.0000


Number 4 is which compound?
Pm5Dy4Hg4


Repeat the fifth record exactly.
Nd6Sm2Er3Mg | PBE | optimized geometry

Summary:
The value obtained for the total energy is -4.4300 eV per atom. As for the formation enthalpy at 0 K: 1.4 kJ per mole of atoms.

Cell: 6.2397 6.2397 11.8399 Å, 95.05 95.05 120.04°
Fractional positions:
Nd 0.5853 0.9166 0.7481
Nd 0.4147 0.0834 0.2519
Nd 0.7519 0.7519 0.2528
Nd 0.0834 0.4147 0.2519
Nd 0.2481 0.2481 0.7472
Nd 0.9166 0.5853 0.7481
Er 0.5000 0.5000 0.5000
Er 0.8339 0.1661 0.5000
Er 0.1661 0.8339 0.5000
Sm 0.6669 0.3331 0.0000
Sm 0.3331 0.6669 0.0000
Mg 0.0000 0.0000 0.0000


What is the total energy in the third record?
-10.8952 eV per atom


Which of these has the highest total energy?
Cs2SrTiI6